one.
# K3Na3Hg2, relaxed, DFT PBE
# **Volume**: 41.0 A^3/atom
# **Total magnetization**: 0.00 Bohr magnetons per cell
data_K3Na3Hg2
_cell_length_a 9.6661
_cell_length_b 19.5598
_cell_length_c 6.9383
_cell_angle_alpha 90.00
_cell_angle_beta 90.00
_cell_angle_gamma 90.00
_symmetry_space_group_name_H-M 'P n m a'
_symmetry_Int_Tables_number 62
_symmetry_space_group_name_Hall '-P 2ac 2n'
loop_
_atom_site_label
_atom_site_type_symbol
_atom_site_fract_x
_atom_site_fract_y
_atom_site_fract_z
K1 K 0.0304 0.1077 0.1037
K2 K 0.1600 0.2500 0.6515
Na1 Na 0.1715 0.0345 0.5951
Na2 Na 0.1723 0.7500 0.6426
Hg1 Hg 0.1216 0.6143 0.3896

two.
# K3Na3Hg2, relaxed, DFT PBE
# **Volume**: 43.1 A^3/atom
# **Total magnetization**: 0.00 Bohr magnetons per cell
data_K3Na3Hg2
_cell_length_a 5.2866
_cell_length_b 6.5491
_cell_length_c 10.4266
_cell_angle_alpha 98.85
_cell_angle_beta 104.51
_cell_angle_gamma 90.10
_symmetry_space_group_name_H-M 'P -1'
_symmetry_Int_Tables_number 2
_symmetry_space_group_name_Hall '-P 1'
loop_
_atom_site_label
_atom_site_type_symbol
_atom_site_fract_x
_atom_site_fract_y
_atom_site_fract_z
K1 K 0.0000 0.0000 0.0000
K2 K 0.1651 0.5881 0.3296
Na1 Na 0.3619 0.9041 0.7222
Na2 Na 0.5000 0.5000 0.0000
Hg1 Hg 0.2281 0.1123 0.4580

Relative energies, in kJ/mol of atoms, with the most stable structure set to zero: one 0.0; two 2.1.